No. 1
Material: Cd2AgHAu
Method: DFT, GGA-PBE
State: relaxed Values from VASP.

Quantum ESPRESSO input file:
```
&SYSTEM
  ibrav = 0, nat = 5, ntyp = 4
/
ATOMIC_SPECIES
H 1.01 H.upf
Au 196.97 Au.upf
Ag 107.87 Ag.upf
Cd 112.41 Cd.upf
ATOMIC_POSITIONS crystal
H 0.000 0.000 0.000
Au 0.500 0.500 0.500
Ag 0.000 0.000 0.500
Cd 0.000 0.500 0.000
Cd 0.500 0.000 0.000
CELL_PARAMETERS angstrom
-2.787 0.254 -3.839
3.341 -2.191 -2.570
-1.468 -3.237 0.852
```

Values from the calculation:
* total magnetic moment: 0.0 μB/f.u.
* mass density: 10.68 g/cm3

=====

No. 2
Material: CdAg2HAu
Method: DFT, GGA-PBE
State: relaxed Values from VASP.

Quantum ESPRESSO input file:
```
&SYSTEM
  ibrav = 0, nat = 5, ntyp = 4
/
ATOMIC_SPECIES
H 1.01 H.upf
Au 196.97 Au.upf
Ag 107.87 Ag.upf
Cd 112.41 Cd.upf
ATOMIC_POSITIONS crystal
H 0.000 0.000 0.000
Au 0.500 0.500 0.500
Ag 0.000 0.500 0.000
Ag 0.500 0.000 0.000
Cd 0.000 0.000 0.500
CELL_PARAMETERS angstrom
4.097 0.000 0.000
0.000 4.097 0.000
0.000 0.000 4.641
```

Values from the calculation:
* total magnetic moment: 0.0 μB/f.u.
* energy above the lowest structure with this stoichiometry: 6.5 meV/atom
* mass density: 11.22 g/cm3

=====

No. 3
Material: Cd4Ag3Hg2Au2
Method: DFT, GGA-PBE
State: relaxed Values from VASP.

Quantum ESPRESSO input file:
```
&SYSTEM
  ibrav = 0, nat = 11, ntyp = 4
/
ATOMIC_SPECIES
Cd 112.41 Cd.upf
Ag 107.87 Ag.upf
Hg 200.59 Hg.upf
Au 196.97 Au.upf
ATOMIC_POSITIONS crystal
Cd 0.667 0.333 0.157
Cd 0.333 0.667 0.843
Cd 0.667 0.333 0.671
Cd 0.333 0.667 0.329
Ag 0.000 0.000 0.754
Ag 0.000 0.000 0.000
Ag 0.000 0.000 0.246
Hg 0.667 0.333 0.424
Hg 0.333 0.667 0.576
Au 0.667 0.333 0.911
Au 0.333 0.667 0.089
CELL_PARAMETERS angstrom
-2.532 -0.832 3.973
-1.180 -2.185 -4.089
7.184 -8.944 2.706
```

Values from the calculation:
* total magnetic moment: 0.0 μB/f.u.
* mass density: 11.15 g/cm3

=====

No. 4
Material: Ho4CdAg2Au
Method: DFT, GGA-PBE
State: relaxed Values from VASP.

Quantum ESPRESSO input file:
```
&SYSTEM
  ibrav = 0, nat = 8, ntyp = 4
/
ATOMIC_SPECIES
Ho 164.93 Ho.upf
Cd 112.41 Cd.upf
Ag 107.87 Ag.upf
Au 196.97 Au.upf
ATOMIC_POSITIONS crystal
Ho 0.379 0.379 0.862
Ho 0.871 0.871 0.386
Ho 0.129 0.129 0.614
Ho 0.621 0.621 0.138
Cd 0.000 0.000 0.000
Ag 0.743 0.743 0.770
Ag 0.257 0.257 0.230
Au 0.500 0.500 0.500
CELL_PARAMETERS angstrom
5.137 0.000 0.000
2.568 4.448 0.000
2.568 1.483 8.409
```

Values from the calculation:
* total magnetic moment: 0.0 μB/f.u.
* mass density: 10.24 g/cm3

=====

No. 5
Material: HoCdAgAu
Method: DFT, GGA-PBE
State: relaxed Values from VASP.

Quantum ESPRESSO input file:
```
&SYSTEM
  ibrav = 0, nat = 4, ntyp = 4
/
ATOMIC_SPECIES
Au 196.97 Au.upf
Ho 164.93 Ho.upf
Ag 107.87 Ag.upf
Cd 112.41 Cd.upf
ATOMIC_POSITIONS crystal
Au 0.500 0.500 0.500
Ho 0.250 0.250 0.250
Ag 0.000 0.000 0.000
Cd 0.750 0.750 0.750
CELL_PARAMETERS angstrom
-1.027 4.779 0.576
-3.430 2.136 -2.811
-4.294 1.374 1.974
```

Values from the calculation:
* total magnetic moment: 0.0 μB/f.u.
* mass density: 11.46 g/cm3

=====

No. 6
Material: CdAg2AuI
Method: DFT, GGA-PBE
State: relaxed Values from VASP.

Quantum ESPRESSO input file:
```
&SYSTEM
  ibrav = 0, nat = 5, ntyp = 4
/
ATOMIC_SPECIES
I 126.90 I.upf
Au 196.97 Au.upf
Ag 107.87 Ag.upf
Cd 112.41 Cd.upf
ATOMIC_POSITIONS crystal
I 0.500 0.500 0.500
Au 0.000 0.500 0.000
Ag 0.000 0.000 0.500
Ag 0.500 0.000 0.000
Cd 0.000 0.000 0.000
CELL_PARAMETERS angstrom
5.378 0.000 0.000
0.000 5.139 0.000
0.000 0.000 5.378
```

Values from the calculation:
* total magnetic moment: 0.0 μB/f.u.
* E_form (uncorrected): 0.523 eV per atom
* mass density: 7.28 g/cm3

=====

| no. | raw total energy (eV for the cell shown) |
| --- | --- |
| 1 | -10.8 |
| 2 | -12.7 |
| 3 | -19.7 |
| 4 | -31.9 |
| 5 | -13.5 |
| 6 | -8.8 |